Entry from Alexandria via LeMat-Bulk: a relaxed LiCrRuO2 crystal (PBE with a Hubbard U).

Lattice parameters (Å, degrees): 3.902 3.902 4.557 90.00 90.00 90.00
Space group P4/mmm (No. 123)
One atom of each set of equivalent atoms:
Li (0.000, 0.000, 0.000) x1
Cr (0.500, 0.500, 0.000) x1
Ru (0.000, 0.000, 0.500) x1
O (0.000, 0.500, 0.500) x2

The value obtained for the magnetic moment is 5.567 Bohr magnetons per cell. The value obtained for the mass density is 4.6 Mg/m³. The energy is -29.32 eV per cell.